This record from Alexandria describes an optimized crystal structure of SmEr2. The functional is PBE.

Computed properties:
Its excess energy over the best structure of this formula in the dataset is 0.89 eV/f.u. The value obtained for the total energy is -4.3248 eV per atom. The formation energy comes out at 0.2901 eV per atom.

a = 6.5729 Å, b = 6.5729 Å, c = 6.5729 Å
α = 60.00°, β = 60.00°, γ = 60.00°
With the nearest neighbours (Å) after each atom.
Element x y z (fractional)
Sm: 0.1250 0.1250 0.1250  12 Er 3.85, 4 Sm 4.03
Sm: 0.8750 0.8750 0.8750  12 Er 3.85, 4 Sm 4.03
Er: 0.0000 0.5000 0.5000  6 Er 3.29
Er: 0.5000 0.0000 0.5000  6 Er 3.29
Er: 0.5000 0.5000 0.0000  6 Er 3.29
Er: 0.5000 0.5000 0.5000  6 Er 3.29